PBE SiS2I, relaxed; relative energy among the computed polymorphs = 1219 meV per atom
1.0
6.865 0.000 0.000
0.000 6.865 0.000
0.000 0.000 6.865
Si S I
4 8 4
Cartesian
0.000 0.000 0.000 Si
0.000 3.432 3.432 Si
3.432 0.000 3.432 Si
3.432 3.432 0.000 Si
1.716 1.716 1.716 S
1.716 1.716 5.148 S
1.716 5.148 1.716 S
1.716 5.148 5.148 S
5.148 1.716 1.716 S
5.148 1.716 5.148 S
5.148 5.148 1.716 S
5.148 5.148 5.148 S
0.000 0.000 3.432 I
0.000 3.432 0.000 I
3.432 0.000 0.000 I
3.432 3.432 3.432 I

=====

PBE KLaRe2, relaxed; relative energy among the computed polymorphs = 705 meV per atom
1.0
2.759 0.000 0.000
0.000 2.759 0.000
0.000 0.000 11.191
K La Re
1 1 2
Cartesian
0.000 0.000 0.000 K
0.000 0.000 5.595 La
1.380 1.380 2.931 Re
1.380 1.380 8.260 Re

=====

PBE BeNi2Br, relaxed; relative energy among the computed polymorphs = 91 meV per atom
1.0
3.170 0.000 0.000
0.000 3.084 0.000
-0.003 0.000 5.999
Be Ni Br
1 2 1
Cartesian
0.000 0.000 0.000 Be
1.583 1.542 4.927 Ni
3.165 0.000 3.891 Ni
3.157 1.542 1.652 Br

=====

PBE BeCrRu, relaxed; relative energy among the computed polymorphs = 23 meV per atom
1.0
2.885 0.000 0.000
0.000 2.885 0.000
0.000 0.000 8.127
Be Cr Ru
2 2 2
Cartesian
0.000 0.000 0.000 Be
1.442 1.442 4.064 Be
0.000 0.000 2.743 Cr
1.442 1.442 6.807 Cr
0.000 0.000 5.420 Ru
1.442 1.442 1.356 Ru

=====

PBE CePmAl2, relaxed; E_tot = -4.905 eV per atom
1.0
7.027 0.000 0.000
0.000 7.027 0.000
0.000 0.000 7.928
Ce Pm Al
4 4 8
Cartesian
0.000 0.000 1.385 Ce
0.000 0.000 6.543 Ce
3.514 3.514 2.579 Ce
3.514 3.514 5.349 Ce
0.000 3.514 1.982 Pm
0.000 3.514 5.946 Pm
3.514 0.000 1.982 Pm
3.514 0.000 5.946 Pm
1.394 1.394 3.964 Al
1.394 5.633 3.964 Al
2.119 2.119 0.000 Al
2.119 4.908 0.000 Al
4.908 2.119 0.000 Al
4.908 4.908 0.000 Al
5.633 1.394 3.964 Al
5.633 5.633 3.964 Al

=====

PBE Pr21Fe8Bi7C12, relaxed; E_tot = -6.879 eV per atom
1.0
0.000 8.178 8.178
8.178 0.000 8.178
8.178 8.178 0.000
Pr Fe Bi C
21 8 7 12
Cartesian
0.000 0.000 0.000 Pr
2.238 2.238 2.238 Pr
5.940 5.940 2.238 Pr
5.940 2.238 5.940 Pr
8.178 5.377 5.377 Pr
10.979 8.178 5.377 Pr
10.979 5.377 8.178 Pr
14.118 10.416 10.416 Pr
5.377 8.178 5.377 Pr
8.178 10.979 5.377 Pr
5.377 5.377 8.178 Pr
10.979 10.979 8.178 Pr
8.178 5.377 10.979 Pr
10.979 8.178 10.979 Pr
2.238 5.940 5.940 Pr
5.377 10.979 8.178 Pr
5.377 8.178 10.979 Pr
8.178 10.979 10.979 Pr
10.416 14.118 10.416 Pr
10.416 10.416 14.118 Pr
14.118 14.118 14.118 Pr
4.975 3.203 3.203 Fe
3.203 4.975 3.203 Fe
3.203 3.203 4.975 Fe
4.975 4.975 4.975 Fe
11.381 11.381 11.381 Fe
13.154 13.154 11.381 Fe
13.154 11.381 13.154 Fe
11.381 13.154 13.154 Fe
8.178 8.178 3.447 Bi
8.178 3.447 8.178 Bi
12.909 8.178 8.178 Bi
8.178 8.178 8.178 Bi
3.447 8.178 8.178 Bi
8.178 12.909 8.178 Bi
8.178 8.178 12.909 Bi
4.089 4.089 1.778 C
4.089 1.778 4.089 C
6.400 4.089 4.089 C
1.778 4.089 4.089 C
4.089 6.400 4.089 C
4.089 4.089 6.400 C
12.267 12.267 9.956 C
12.267 9.956 12.267 C
14.578 12.267 12.267 C
9.956 12.267 12.267 C
12.267 14.578 12.267 C
12.267 12.267 14.578 C

=====

| no. | N(E_F) (states/eV per atom) |
| --- | --- |
| 1 | 0.87 |
| 2 | 0.79 |
| 3 | 0.84 |
| 4 | 0.58 |
| 5 | 1.51 |
| 6 | 0.55 |